Density functional theory data (PBE-GGA) for crystalline NbNi4Pt2 at its relaxed geometry.

Results
relative energy among the computed polymorphs = 624 kJ/mol of formula units
total energy = -39.42 eV per formula unit
density = 9.9 g cm⁻³
D(E_F) = 0.760 states/eV/atom

The structure in extended XYZ format:
```
14
Lattice="4.439 0.000 0.000 0.000 4.439 0.000 0.000 0.000 12.229" Properties=species:S:1:pos:R:3 pbc="T T T"
Nb 0.000 0.000 0.000
Nb 2.220 2.220 6.114
Ni 0.000 0.000 2.300
Ni 0.000 0.000 9.928
Ni 0.000 2.220 0.000
Ni 0.000 2.220 6.114
Ni 2.220 0.000 0.000
Ni 2.220 0.000 6.114
Ni 2.220 2.220 3.814
Ni 2.220 2.220 8.415
Pt 0.000 0.000 4.743
Pt 0.000 0.000 7.486
Pt 2.220 2.220 1.372
Pt 2.220 2.220 10.857
```